This record from the Alexandria database describes a geometry-optimized YHCl3 structure. The functional is PBE.

Computed properties:
**Total DFT energy (no corrections)**: -4.4007 eV/atom
**Energy above the lowest structure with this stoichiometry**: 20 meV per atom

a b c (Å): 5.295 5.295 5.295
angles (deg): 90.00 90.00 90.00
Site moments in Bohr magnetons follow the coordinates.
Fractional positions:
1 Cl 0.500 0.000 0.000  0.01
2 Cl 0.000 0.000 0.500  0.01
3 Cl 0.000 0.500 0.000  0.01
4 Y 0.000 0.000 0.000  0.00
5 H 0.500 0.500 0.500  0.38